VASP calculation (PBE) on an optimized crystal structure of RbThGa2Cl8.

Properties
E_form (uncorrected), eV per atom: -1.50
E, Ry per atom: -0.289
Magnetization, μB/f.u.: 0.7

a = 6.753 Å, b = 6.857 Å, c = 9.244 Å
α = 85.64°, β = 84.61°, γ = 86.28°
Space group P-1 (No. 2)
Inequivalent atoms, fractional coordinates:
Rb  0.000  0.000  0.000
Th  0.000  0.000  0.500
Ga  0.475  0.481  0.218
Cl  0.217  0.816  0.708
Cl  0.231  0.827  0.282
Cl  0.244  0.294  0.475
Cl  0.315  0.358  0.009